# MgMo3 (PBE, optimized geometry)
data_MgMo3
_chemical_formula_sum 'Mg2 Mo6'
_symmetry_space_group_name_H-M 'C m m m'
_symmetry_Int_Tables_number 65
_symmetry_space_group_name_Hall '-C 2 2'
_cell_length_a 3.200
_cell_length_b 4.482
_cell_length_c 9.204
_cell_angle_alpha 90.00
_cell_angle_beta 90.00
_cell_angle_gamma 90.00
loop_
_atom_site_label
_atom_site_type_symbol
_atom_site_fract_x
_atom_site_fract_y
_atom_site_fract_z
Mg1 Mg 0.000 0.000 0.000
Mo1 Mo 0.000 0.000 0.500
Mo2 Mo 0.000 0.500 0.262
# Calculated density = 7.9 g cm⁻³
# ΔE to the lowest computed polymorph = 0 meV/atom
# Size of the total moment = 0.00 μB/cell



# MgMo (PBE, optimized geometry)
data_MgMo
_chemical_formula_sum 'Mg6 Mo6'
_symmetry_space_group_name_H-M 'C 1 m 1'
_symmetry_Int_Tables_number 8
_cell_length_a 11.267
_cell_length_b 2.728
_cell_length_c 6.946
_cell_angle_alpha 90.00
_cell_angle_beta 102.10
_cell_angle_gamma 90.00
loop_
_symmetry_equiv_pos_as_xyz
'x,y,z'
'x,-y,z'
'x+1/2,y+1/2,z'
'x+1/2,-y+1/2,z'
loop_
_atom_site_label
_atom_site_type_symbol
_atom_site_fract_x
_atom_site_fract_y
_atom_site_fract_z
Mg1 Mg 0.000 0.000 0.000
Mg2 Mg 0.062 0.000 0.635
Mg3 Mg 0.400 0.000 0.302
Mo1 Mo 0.176 0.500 0.328
Mo2 Mo 0.232 0.500 0.981
Mo3 Mo 0.318 0.000 0.666
# Calculated density = 5.7 g cm⁻³
# ΔE to the lowest computed polymorph = 182 meV/atom
# Size of the total moment = 0.00 μB/cell



# MgMo3 (PBE, optimized geometry)
data_MgMo3
_chemical_formula_sum 'Mg1 Mo3'
_symmetry_space_group_name_H-M 'P 4/m m m'
_symmetry_Int_Tables_number 123
_symmetry_space_group_name_Hall '-P 4 2'
_cell_length_a 3.161
_cell_length_b 3.161
_cell_length_c 6.716
_cell_angle_alpha 90.00
_cell_angle_beta 90.00
_cell_angle_gamma 90.00
loop_
_atom_site_label
_atom_site_type_symbol
_atom_site_fract_x
_atom_site_fract_y
_atom_site_fract_z
Mg1 Mg 0.000 0.000 0.000
Mo1 Mo 0.000 0.000 0.500
Mo2 Mo 0.500 0.500 0.278
# Calculated density = 7.7 g cm⁻³
# ΔE to the lowest computed polymorph = 163 meV/atom
# Size of the total moment = 0.00 μB/cell



no.,N(E_F) (states/eV/f.u.),DFT formation energy (meV per atom)
1,2.7,155
2,1.5,367
3,4.1,318